Record 1
Compound: MnAlRh2
Source: Alexandria
Functional: GGA-PBEsol
Structure: optimized geometry

Calculated values
DFT formation energy   -398 meV/atom
Magnetic moment   3.7 μB/f.u.

a b c (Å): 2.969 4.127 5.023
angles (deg): 114.25 107.19 90.00
Positions (direct):
Al: 0.498 0.498 0.997
Rh: 0.993 0.993 0.986
Rh: 0.759 0.259 0.519
Mn: 0.249 0.749 0.498



Record 2
Compound: MnAlRh2
Source: Alexandria
Functional: GGA-PBEsol
Structure: optimized geometry

Calculated values
DFT formation energy   -166 meV/atom
Magnetic moment   4.1 μB/f.u.

a b c (Å): 4.252 4.252 4.252
angles (deg): 60.00 60.00 60.00
Positions (direct):
Al: 0.500 0.500 0.500
Rh: 0.750 0.750 0.750
Rh: 0.000 0.000 0.000
Mn: 0.250 0.250 0.250